Entry from Alexandria via LeMat-Bulk: a geometry-optimized CaEr5Zn6 structure (PBE-GGA).

Properties
- Theoretical density: 7.81 Mg/m³
- DOS(E_F): 0.81 states/eV per atom
- Energy of formation: -329 meV per atom

POSCAR file:
```
CaEr5Zn6
1.0
-2.195 -3.109 -3.302
6.364 -2.394 -1.977
-1.472 -6.930 3.651
Er Zn Ca
5 6 1
Direct
0.666 0.500 0.669
0.000 0.500 0.000
0.666 0.000 0.668
0.334 0.500 0.331
0.334 0.000 0.332
0.829 0.255 0.340
0.171 0.745 0.660
0.829 0.745 0.340
0.500 0.740 0.000
0.171 0.255 0.660
0.500 0.260 0.000
0.000 0.000 0.000
```